Compound: NiPd
Source: Alexandria
Functional: PBE
Structure: optimized geometry

Its formation energy is 162 meV/atom. The calculation puts the total magnetic moment at 1.14 μB/f.u. As for the calculated volume: 224.52 Å³ per cell. The density of states at the Fermi level comes out at 25.37 states/eV per cell.

The structure belongs to space group I4/mmm (No. 139); the cell edges are 7.535, 7.535 and 3.955 Å and the angles 90.00°, 90.00° and 90.00°. The asymmetric unit holds Ni at (0.159, 0.159, 0.000) and Pd at (0.000, 0.307, 0.500).